Compound: Pr2YPbC
Source: Alexandria via LeMat-Bulk
Functional: PBE
Structure: relaxed

Summary:
Total magnetization, μB per formula unit: 0.000
Crystal system: tetragonal
Volume, Å³/cell: 133.1
Space group: No. 123
ΔE_f, kJ per mole of atoms: -41

Structure (POSCAR):
```
Pr2YPbC
1.0
-1.3899 -1.9171 4.3328
3.8001 -3.5201 -0.3385
3.2203 3.2393 2.4664
Y C Pr Pb
1 1 2 1
Cartesian
-0.6950 -0.9586 2.1664 Y
0.0000 0.0000 0.0000 C
1.6102 1.6197 1.2332 Pr
1.9001 -1.7600 -0.1693 Pr
2.8153 -1.0990 3.2303 Pb
```



Compound: Pt2PbC
Source: Alexandria via LeMat-Bulk
Functional: PBE
Structure: relaxed

Summary:
Total magnetization, μB per formula unit: 0.000
Crystal system: tetragonal
Volume, Å³/cell: 158.3
Space group: No. 122
ΔE_f, kJ per mole of atoms: 37

Structure (POSCAR):
```
Pt2PbC
1.0
5.3834 0.0000 0.0000
0.0000 5.3834 0.0000
2.6917 2.6917 5.4609
Pt Pb C
4 2 2
Cartesian
3.3492 1.3459 1.3652 Pt
6.7293 6.0409 4.0957 Pt
4.0376 4.7259 4.0957 Pt
2.0342 4.0376 1.3652 Pt
0.0000 0.0000 0.0000 Pb
5.3834 2.6917 2.7304 Pb
2.6917 2.6917 0.0000 C
2.6917 5.3834 2.7304 C
```



Compound: Pt3PbC
Source: Alexandria via LeMat-Bulk
Functional: PBE
Structure: relaxed

Summary:
Total magnetization, μB per formula unit: 0.950
Crystal system: cubic
Volume, Å³/cell: 131.8
Space group: No. 221
ΔE_f, kJ per mole of atoms: 252

Structure (POSCAR):
```
Pt3PbC
1.0
5.0895 0.0000 0.0000
0.0000 5.0895 0.0000
0.0000 0.0000 5.0895
Pt C Pb
3 1 1
Cartesian
2.5447 0.0000 0.0000 Pt
0.0000 0.0000 2.5447 Pt
0.0000 2.5447 0.0000 Pt
2.5447 2.5447 2.5447 C
0.0000 0.0000 0.0000 Pb
```